[1]
The following is a PBE-GGA calculation of a geometry-optimized Ho2BiRh structure, from the Alexandria database.

The structure in extended XYZ format:
```
8
Lattice="6.247 0.000 0.000 0.000 4.284 0.000 -2.925 0.000 7.597" Properties=species:S:1:pos:R:3 pbc="T T T"
Ho -0.168 1.071 3.005
Ho 1.365 3.213 0.357
Ho 1.957 1.071 7.241
Ho 3.490 3.213 4.592
Bi 0.401 3.213 5.376
Bi 2.921 1.071 2.222
Rh -1.578 1.071 6.022
Rh 4.900 3.213 1.575
```

SG: P2_1/m (11)
Calculated volume: 25.42 Å³ per atom
ΔE_f: -3.24 eV/f.u.
Energy above the lowest structure with this stoichiometry: 0 meV/atom

=====

[2]
The following is a PBE-GGA calculation of a geometry-optimized Ho5BiRh2 structure, from the Alexandria database.

The structure in extended XYZ format:
```
16
Lattice="-3.895 3.895 6.753 3.895 -3.895 6.753 3.895 3.895 -6.753" Properties=species:S:1:pos:R:3 pbc="T T T"
Ho 0.000 0.000 0.000
Ho 5.103 1.208 -1.800
Ho 1.208 2.687 -1.800
Ho 5.103 1.208 1.800
Ho 1.208 2.687 1.800
Ho 0.000 0.000 6.753
Ho 2.687 1.208 4.953
Ho -1.208 2.687 4.953
Ho 2.687 1.208 8.553
Ho -1.208 2.687 8.553
Bi 0.000 0.000 3.377
Bi 0.000 0.000 10.130
Rh 2.802 1.093 0.000
Rh 2.802 -1.093 6.753
Rh 1.093 4.989 0.000
Rh 1.093 2.802 6.753
```

SG: I4/mcm (140)
Calculated volume: 25.62 Å³ per atom
ΔE_f: -5.82 eV/f.u.

=====

[3]
The following is a PBE-GGA calculation of a geometry-optimized Ho4BiRh structure, from the Alexandria database.

The structure in extended XYZ format:
```
12
Lattice="4.479 -6.697 0.000 4.479 6.697 0.000 -2.354 0.000 5.576" Properties=species:S:1:pos:R:3 pbc="T T T"
Ho 1.290 4.408 5.197
Ho 0.967 0.999 3.626
Ho 4.137 4.408 3.167
Ho 2.145 -0.999 0.838
Ho 4.460 0.999 4.738
Ho 2.467 -4.408 2.409
Ho 5.637 -0.999 1.950
Ho 5.314 -4.408 0.379
Bi 3.891 1.683 1.394
Bi 2.714 -1.683 4.182
Rh 3.891 -6.693 1.394
Rh 2.714 6.693 4.182
```

SG: C2/c (15)
Calculated volume: 27.88 Å³ per atom
ΔE_f: -3.52 eV/f.u.
Energy above the lowest structure with this stoichiometry: 39 meV/atom